A geometry-optimized Ta2CrW structure. Source: the Alexandria database, functional PBE-GGA.

Output
* density: 15.5 g/cm³
* energy relative to the elements: 43 meV/atom

```
data_Ta2CrW
_cell_length_a 6.353
_cell_length_b 6.353
_cell_length_c 6.353
_cell_angle_alpha 90.00
_cell_angle_beta 90.00
_cell_angle_gamma 90.00
_symmetry_space_group_name_H-M 'F -4 3 m'
_symmetry_Int_Tables_number 216
_symmetry_space_group_name_Hall 'F -4 2 3'
loop_
_atom_site_label
_atom_site_type_symbol
_atom_site_fract_x
_atom_site_fract_y
_atom_site_fract_z
Ta1 Ta 0.000 0.000 0.000
Ta2 Ta 0.250 0.250 0.250
Cr1 Cr 0.250 0.250 0.750
W1 W 0.000 0.000 0.500
```